Entry 1:
5
Lattice="4.048 0.000 0.000 0.000 4.752 0.000 0.000 0.000 4.752" Properties=species:S:1:pos:R:3 comment="AgPdBr2N | the Alexandria database | GGA-PBEsol | optimized geometry" dos_at_fermi_per_ev_cell=7.082 e_form_raw_ev_per_atom=0.994 magmom_total_mub_per_cell=0.54 space_group="P4/mmm, No. 123" pbc="T T T"
N 0.000 0.000 0.000
Ag 2.024 0.000 0.000
Br 0.000 2.376 0.000
Br 0.000 0.000 2.376
Pd 2.024 2.376 2.376

***

Entry 2:
5
Lattice="3.897 0.000 0.000 0.000 5.803 0.000 0.000 0.000 5.803" Properties=species:S:1:pos:R:3 comment="NaTeHI2 | the Alexandria database | GGA-PBEsol | optimized geometry" e_tot_ev_per_atom=-2.50 dos_at_fermi_per_ev_cell=2.982 magmom_total_mub_per_cell=0.00 space_group="P4/mmm, No. 123" pbc="T T T"
Te 1.948 0.000 0.000
I 0.000 2.901 0.000
I 0.000 0.000 2.901
Na 1.948 2.901 2.901
H 0.000 0.000 0.000

***

Entry 3:
38
Lattice="-1.549 -5.402 -0.805 1.540 -4.732 8.780 -9.800 -0.525 2.354" Properties=species:S:1:pos:R:3 comment="Ba5Y8Zn4O21 | the Alexandria database | GGA-PBEsol | optimized geometry" dos_at_fermi_per_ev_cell=0.000 e_form_raw_ev_per_atom=-2.922 magmom_total_mub_per_cell=0.00 space_group="I4/m, No. 87" pbc="T T T"
O -9.269 -5.319 3.463
O -4.471 -5.190 3.395
O -2.122 -1.121 1.613
O -8.586 -6.010 6.899
O -0.774 -2.701 -0.402
O -0.540 -5.340 6.866
O -1.989 -7.325 3.031
O -3.548 -7.688 8.280
O -2.766 -4.961 8.686
O -7.042 -5.698 1.643
O -7.820 -3.335 7.298
O -5.338 -5.469 6.934
O -6.261 -2.971 2.049
O -1.316 -8.046 6.463
O -7.382 -7.487 4.388
O -7.687 -9.538 8.716
O -2.426 -3.173 5.941
O -1.222 -4.649 3.430
O -8.493 -2.614 3.866
O -6.912 -6.833 9.119
O -2.897 -3.827 1.210
Zn -6.683 -1.586 3.480
Zn -7.038 -5.122 7.879
Zn -2.771 -5.537 2.450
Zn -3.125 -9.073 6.849
Ba -3.597 -2.499 3.675
Ba -6.723 -4.738 4.693
Ba 0.000 0.000 0.000
Ba -3.086 -5.921 5.636
Ba -6.211 -8.160 6.654
Y -5.111 -4.661 1.072
Y -0.732 -3.052 1.869
Y -9.667 -6.944 5.141
Y -4.698 -5.998 9.257
Y -8.363 -3.839 1.816
Y -9.077 -7.608 8.460
Y -1.446 -6.820 8.513
Y -0.141 -3.715 5.188

***

Entry 4:
8
Lattice="4.709 0.000 0.000 0.000 4.709 0.000 -2.355 -2.355 8.261" Properties=species:S:1:pos:R:3 comment="LaAs2Rh | the Alexandria database | GGA-PBEsol | optimized geometry" dos_at_fermi_per_ev_cell=4.812 formation_energy_ev_per_atom=-0.636 magmom_total_mub_per_cell=0.00 space_group="I-42d, No. 122" pbc="T T T"
As 1.177 0.525 6.196
As -1.177 -0.525 6.196
As 1.830 3.532 2.065
As 2.880 1.177 2.065
Rh 2.355 0.000 4.130
Rh 2.355 2.355 0.000
La 0.000 2.355 4.130
La 0.000 0.000 0.000

***

Entry 5:
4
Lattice="4.552 0.000 0.000 2.276 3.942 0.000 2.276 1.314 3.717" Properties=species:S:1:pos:R:3 comment="TaAg2Au | the Alexandria database | GGA-PBEsol | optimized geometry" dos_at_fermi_per_ev_cell=1.691 formation_energy_ev_per_atom=0.191 magmom_total_mub_per_cell=0.00 space_group="F-43m, No. 216" pbc="T T T"
Ag 0.000 0.000 0.000
Ag 6.828 3.942 2.788
Ta 2.276 1.314 0.929
Au 4.552 2.628 1.858

***

Entry 6:
4
Lattice="2.883 0.000 0.000 0.000 2.883 0.000 0.000 0.000 8.665" Properties=species:S:1:pos:R:3 comment="ZrCdSi2 | the Alexandria database | GGA-PBEsol | optimized geometry" dos_at_fermi_per_ev_cell=2.447 e_form_raw_ev_per_atom=-0.018 magmom_total_mub_per_cell=0.00 space_group="P4/mmm, No. 123" pbc="T T T"
Cd 1.442 1.442 4.332
Si 0.000 0.000 2.016
Si 0.000 0.000 6.649
Zr 1.442 1.442 0.000

***

Entry 7:
4
Lattice="-3.149 0.522 2.325 0.048 -3.839 0.926 2.661 0.856 3.413" Properties=species:S:1:pos:R:3 comment="Ta2TeOs | the Alexandria database | GGA-PBEsol | optimized geometry" dos_at_fermi_per_ev_cell=2.496 e_form_raw_ev_per_atom=0.334 magmom_total_mub_per_cell=0.00 space_group="P4/mmm, No. 123" pbc="T T T"
Ta 0.024 -1.919 0.463
Ta -1.575 0.261 1.162
Te -0.220 -1.230 3.332
Os 1.331 0.428 1.707

***

Entry 8:
4
Lattice="3.003 0.000 0.000 0.000 3.003 0.000 0.000 0.000 6.997" Properties=species:S:1:pos:R:3 comment="SrCrCo2 | the Alexandria database | GGA-PBEsol | optimized geometry" dos_at_fermi_per_ev_cell=4.122 formation_energy_ev_per_atom=0.712 magmom_total_mub_per_cell=2.09 space_group="P4mm, No. 99" pbc="T T T"
Sr 1.501 1.501 5.299
Co 0.000 0.000 0.579
Co 1.501 1.501 1.817
Cr 0.000 0.000 2.800

***

Entry 9:
4
Lattice="4.331 0.000 0.000 -2.166 3.751 0.000 0.000 0.000 4.852" Properties=species:S:1:pos:R:3 comment="ZnCd | the Alexandria database | GGA-PBEsol | optimized geometry" dos_at_fermi_per_ev_cell=1.055 formation_energy_ev_per_atom=0.117 magmom_total_mub_per_cell=0.00 space_group="P6_3/mmc, No. 194" pbc="T T T"
Zn 0.000 0.000 0.000
Zn 0.000 0.000 2.426
Cd 2.166 1.250 3.639
Cd 0.000 2.501 1.213

***

Entry 10:
52
Lattice="7.701 -0.021 0.019 -3.818 6.688 0.019 -0.510 -0.875 12.733" Properties=species:S:1:pos:R:3 comment="LiFeSi3O8 | the Alexandria database | GGA-PBEsol | optimized geometry" e_form_raw_ev_per_atom=-2.394 magmom_total_mub_per_cell=20.00 space_group="C2/c, No. 15" pbc="T T T"
Fe -0.804 2.626 2.109
Fe 4.177 3.165 10.663
Fe 2.426 0.159 8.475
Fe 0.947 5.632 4.296
Si 2.060 6.177 1.397
Si 4.101 4.402 7.764
Si 0.198 2.351 7.800
Si -0.846 1.763 10.671
Si 1.168 5.220 8.468
Si 1.171 4.022 11.338
Si 1.313 -0.385 11.374
Si -0.728 1.390 5.008
Si 3.176 3.441 4.971
Si 2.202 1.769 1.434
Si 2.206 0.571 4.304
Si 4.220 4.029 2.101
O 2.395 0.723 0.179
O -0.902 5.851 4.708
O 0.978 5.068 12.593
O 3.550 2.667 1.528
O 3.456 5.349 1.564
O 5.280 1.665 11.075
O -0.177 3.125 11.244
O 2.472 3.091 11.359
O 2.484 0.143 10.373
O 2.190 0.663 2.658
O 0.680 0.584 4.841
O 4.132 3.997 3.747
O 1.649 1.679 7.779
O 5.746 0.349 4.858
O -0.808 2.003 6.546
O -2.786 4.732 11.224
O 6.160 1.059 1.548
O 0.313 3.966 7.895
O 4.219 3.122 8.765
O -0.082 0.442 11.208
O 1.724 4.112 4.993
O 1.183 5.129 10.114
O 0.902 2.701 1.413
O -2.372 5.443 7.914
O -0.759 1.794 9.025
O 2.693 5.207 7.930
O -1.907 4.127 1.697
O 3.060 1.825 4.877
O 4.276 -0.060 8.063
O -0.846 2.669 4.007
O 0.889 5.648 2.399
O 4.181 3.789 6.226
Li -0.908 5.754 1.541
Li 4.281 0.037 11.231
Li 5.198 1.612 7.907
Li -1.825 4.180 4.865

***

Entry 11:
4
Lattice="2.766 0.000 0.000 0.000 4.049 -0.005 0.000 -0.940 3.939" Properties=species:S:1:pos:R:3 comment="Co2NiAs | the Alexandria database | GGA-PBEsol | optimized geometry" dos_at_fermi_per_ev_cell=4.255 formation_energy_ev_per_atom=-0.010 magmom_total_mub_per_cell=1.58 space_group="Cmmm, No. 65" pbc="T T T"
Ni 1.383 0.000 0.000
As 1.383 1.555 1.967
Co 0.000 -0.470 1.969
Co 0.000 2.025 -0.003

***

Entry 12:
28
Lattice="5.635 -0.055 -0.004 -0.238 5.630 -0.004 -2.579 -2.664 8.383" Properties=species:S:1:pos:R:3 comment="Li2VO3F | the Alexandria database | GGA-PBEsol | optimized geometry" dos_at_fermi_per_ev_cell=0.000 e_form_raw_ev_per_atom=-2.449 magmom_total_mub_per_cell=0.00 space_group="Cc, No. 9" pbc="T T T"
V -0.782 3.370 4.996
V -1.816 2.185 7.432
V 4.683 0.660 0.805
V 3.532 -0.412 3.240
O -0.629 -2.052 7.109
O 0.552 2.311 5.091
O 3.581 1.958 0.899
O 2.250 0.655 3.201
O -0.889 3.563 3.321
O 3.692 -0.731 4.977
O -0.741 0.637 2.917
O 0.439 4.998 0.785
O 3.539 2.203 5.414
O 3.377 4.941 1.223
O 2.301 -2.105 7.513
O -0.707 0.938 7.392
Li 2.053 3.463 1.077
Li 4.833 3.473 1.300
Li 2.018 0.718 1.198
Li 0.810 2.096 3.143
Li 2.025 3.611 5.492
Li 2.105 0.832 5.268
Li -0.638 0.708 5.390
Li 0.779 -0.454 7.335
F 0.586 2.041 1.189
F 2.261 0.883 7.193
F 2.099 3.620 3.001
F 0.731 -0.681 5.380

***

- What is the formula in the tenth record?
  LiFeSi3O8